# PBE-GGA NaTiBi2, optimized geometry
data_NaTiBi2
_chemical_formula_sum 'Na1 Ti1 Bi2'
_symmetry_space_group_name_H-M 'P 4/m m m'
_symmetry_Int_Tables_number 123
_symmetry_space_group_name_Hall '-P 4 2'
_cell_length_a 3.4821
_cell_length_b 3.4821
_cell_length_c 8.6582
_cell_angle_alpha 90.00
_cell_angle_beta 90.00
_cell_angle_gamma 90.00
loop_
_atom_site_label
_atom_site_type_symbol
_atom_site_fract_x
_atom_site_fract_y
_atom_site_fract_z
Na1 Na 0.0000 0.0000 0.0000
Ti1 Ti 0.0000 0.0000 0.5000
Bi1 Bi 0.5000 0.5000 0.2838
# Fermi-level density of states in states/eV/atom: 0.98
# Size of the total moment in μB/cell: 1.33
# Energy of formation from the pure elements in eV/f.u.: -0.7
# Energy above the most stable polymorph in this dataset in eV per atom: 0.000



# PBE-GGA NaTiBi2, optimized geometry
data_NaTiBi2
_chemical_formula_sum 'Na3 Ti3 Bi6'
_symmetry_space_group_name_H-M 'R 3 m'
_symmetry_Int_Tables_number 160
_symmetry_space_group_name_Hall 'R 3 -2"'
_cell_length_a 3.8083
_cell_length_b 3.8083
_cell_length_c 26.4887
_cell_angle_alpha 90.00
_cell_angle_beta 90.00
_cell_angle_gamma 120.00
loop_
_atom_site_label
_atom_site_type_symbol
_atom_site_fract_x
_atom_site_fract_y
_atom_site_fract_z
Na1 Na 0.0000 0.0000 0.0000
Ti1 Ti 0.0000 0.0000 0.1662
Bi1 Bi 0.0000 0.0000 0.5714
Bi2 Bi 0.0000 0.0000 0.7613
# Fermi-level density of states in states/eV/atom: 0.56
# Size of the total moment in μB/cell: 0.00
# Energy of formation from the pure elements in eV/f.u.: -0.6
# Energy above the most stable polymorph in this dataset in eV per atom: 0.006



# PBE-GGA NaTi2Bi2, optimized geometry
data_NaTi2Bi2
_chemical_formula_sum 'Na2 Ti4 Bi4'
_symmetry_space_group_name_H-M 'P 4/m b m'
_symmetry_Int_Tables_number 127
_symmetry_space_group_name_Hall '-P 4 2ab'
_cell_length_a 8.1734
_cell_length_b 8.1734
_cell_length_c 3.5824
_cell_angle_alpha 90.00
_cell_angle_beta 90.00
_cell_angle_gamma 90.00
loop_
_atom_site_label
_atom_site_type_symbol
_atom_site_fract_x
_atom_site_fract_y
_atom_site_fract_z
Na1 Na 0.0000 0.0000 0.0000
Ti1 Ti 0.1241 0.3759 0.5000
Bi1 Bi 0.1615 0.6615 0.0000
# Fermi-level density of states in states/eV/atom: 1.22
# Size of the total moment in μB/cell: 0.00
# Energy of formation from the pure elements in eV/f.u.: -0.1
# Energy above the most stable polymorph in this dataset in eV per atom: 0.023



# PBE-GGA NaTiBi2, optimized geometry
data_NaTiBi2
_chemical_formula_sum 'Na2 Ti2 Bi4'
_symmetry_space_group_name_H-M 'C 1 2/m 1'
_symmetry_Int_Tables_number 12
_symmetry_space_group_name_Hall '-C 2y'
_cell_length_a 6.5878
_cell_length_b 3.8080
_cell_length_c 9.0728
_cell_angle_alpha 90.00
_cell_angle_beta 104.12
_cell_angle_gamma 90.00
loop_
_atom_site_label
_atom_site_type_symbol
_atom_site_fract_x
_atom_site_fract_y
_atom_site_fract_z
Na1 Na 0.0000 0.0000 0.0000
Ti1 Ti 0.0000 0.5000 0.5000
Bi1 Bi 0.2385 0.0000 0.7162
# Fermi-level density of states in states/eV/atom: 0.57
# Size of the total moment in μB/cell: 0.00
# Energy of formation from the pure elements in eV/f.u.: -0.6
# Energy above the most stable polymorph in this dataset in eV per atom: 0.004



# PBE-GGA NaTiBi2W, optimized geometry
data_NaTiBi2W
_chemical_formula_sum 'Na1 Ti1 Bi2 W1'
_symmetry_space_group_name_H-M 'P 4/m m m'
_symmetry_Int_Tables_number 123
_symmetry_space_group_name_Hall '-P 4 2'
_cell_length_a 5.2350
_cell_length_b 5.2350
_cell_length_c 4.9853
_cell_angle_alpha 90.00
_cell_angle_beta 90.00
_cell_angle_gamma 90.00
loop_
_atom_site_label
_atom_site_type_symbol
_atom_site_fract_x
_atom_site_fract_y
_atom_site_fract_z
Na1 Na 0.0000 0.0000 0.0000
Ti1 Ti 0.5000 0.5000 0.5000
Bi1 Bi 0.0000 0.5000 0.0000
W1 W 0.0000 0.0000 0.5000
# Fermi-level density of states in states/eV/atom: 1.64
# Size of the total moment in μB/cell: 3.70
# Energy of formation from the pure elements in eV/f.u.: 9.4



# PBE-GGA Na6Tl8Bi, optimized geometry
data_Na6Tl8Bi
_chemical_formula_sum 'Na18 Tl24 Bi3'
_symmetry_space_group_name_H-M 'R -3'
_symmetry_Int_Tables_number 148
_symmetry_space_group_name_Hall '-R 3'
_cell_length_a 8.7083
_cell_length_b 8.7083
_cell_length_c 20.8017
_cell_angle_alpha 90.00
_cell_angle_beta 90.00
_cell_angle_gamma 120.00
loop_
_atom_site_label
_atom_site_type_symbol
_atom_site_fract_x
_atom_site_fract_y
_atom_site_fract_z
Na1 Na 0.0517 0.7793 0.2228
Tl1 Tl 0.0000 0.0000 0.3439
Tl2 Tl 0.0299 0.7872 0.0629
Bi1 Bi 0.0000 0.0000 0.5000
# Fermi-level density of states in states/eV/atom: 0.52
# Size of the total moment in μB/cell: 0.00
# Energy of formation from the pure elements in eV/f.u.: -1.4



# PBE-GGA Na16Tl12Bi, optimized geometry
data_Na16Tl12Bi
_chemical_formula_sum 'Na32 Tl24 Bi2'
_symmetry_space_group_name_H-M 'C 1 m 1'
_symmetry_Int_Tables_number 8
_symmetry_space_group_name_Hall 'C -2y'
_cell_length_a 12.0493
_cell_length_b 16.8826
_cell_length_c 10.3009
_cell_angle_alpha 90.00
_cell_angle_beta 124.45
_cell_angle_gamma 90.00
loop_
_atom_site_label
_atom_site_type_symbol
_atom_site_fract_x
_atom_site_fract_y
_atom_site_fract_z
Na1 Na 0.0000 0.0000 0.0000
Na2 Na 0.0083 0.0000 0.3449
Na3 Na 0.0791 0.3468 0.4282
Na4 Na 0.1625 0.1521 0.5955
Na5 Na 0.1646 0.5000 0.6788
Na6 Na 0.1729 0.1750 0.9940
Na7 Na 0.2060 0.5000 0.2928
Na8 Na 0.2982 0.2936 0.3168
Na9 Na 0.4534 0.1293 0.9977
Na10 Na 0.4876 0.1958 0.6936
Tl1 Tl 0.0020 0.1979 0.1986
Tl2 Tl 0.1924 0.0000 0.8280
Tl3 Tl 0.2228 0.4051 0.0085
Tl4 Tl 0.2748 0.0974 0.3611
Tl5 Tl 0.3228 0.3053 0.8214
Tl6 Tl 0.4005 0.0000 0.2081
Tl7 Tl 0.4108 0.4022 0.6263
Bi1 Bi 0.3933 0.0000 0.6971
# Fermi-level density of states in states/eV/atom: 0.49
# Size of the total moment in μB/cell: 0.00
# Energy of formation from the pure elements in eV/f.u.: -3.2



# PBE-GGA NaTl3Bi3, optimized geometry
data_NaTl3Bi3
_chemical_formula_sum 'Na2 Tl6 Bi6'
_symmetry_space_group_name_H-M 'P m -3 n'
_symmetry_Int_Tables_number 223
_symmetry_space_group_name_Hall '-P 4n 2 3'
_cell_length_a 8.6290
_cell_length_b 8.6290
_cell_length_c 8.6290
_cell_angle_alpha 90.00
_cell_angle_beta 90.00
_cell_angle_gamma 90.00
loop_
_atom_site_label
_atom_site_type_symbol
_atom_site_fract_x
_atom_site_fract_y
_atom_site_fract_z
Na1 Na 0.0000 0.0000 0.0000
Tl1 Tl 0.0000 0.2500 0.5000
Bi1 Bi 0.0000 0.5000 0.2500
# Fermi-level density of states in states/eV/atom: 0.49
# Size of the total moment in μB/cell: 0.00
# Energy of formation from the pure elements in eV/f.u.: 1.6
# Energy above the most stable polymorph in this dataset in eV per atom: 0.286



# PBE-GGA NaTl12Bi6, optimized geometry
data_NaTl12Bi6
_chemical_formula_sum 'Na2 Tl24 Bi12'
_symmetry_space_group_name_H-M 'I m -3'
_symmetry_Int_Tables_number 204
_symmetry_space_group_name_Hall '-I 2 2 3'
_cell_length_a 10.8123
_cell_length_b 10.8123
_cell_length_c 10.8123
_cell_angle_alpha 90.00
_cell_angle_beta 90.00
_cell_angle_gamma 90.00
loop_
_atom_site_label
_atom_site_type_symbol
_atom_site_fract_x
_atom_site_fract_y
_atom_site_fract_z
Na1 Na 0.0000 0.0000 0.0000
Tl1 Tl 0.0000 0.2617 0.1864
Bi1 Bi 0.0000 0.1425 0.5000
# Fermi-level density of states in states/eV/atom: 0.36
# Size of the total moment in μB/cell: 0.00
# Energy of formation from the pure elements in eV/f.u.: 0.0



# PBE-GGA NaTl3Bi2, optimized geometry
data_NaTl3Bi2
_chemical_formula_sum 'Na2 Tl6 Bi4'
_symmetry_space_group_name_H-M 'C m m m'
_symmetry_Int_Tables_number 65
_symmetry_space_group_name_Hall '-C 2 2'
_cell_length_a 5.1666
_cell_length_b 13.9581
_cell_length_c 5.1640
_cell_angle_alpha 90.00
_cell_angle_beta 90.00
_cell_angle_gamma 90.00
loop_
_atom_site_label
_atom_site_type_symbol
_atom_site_fract_x
_atom_site_fract_y
_atom_site_fract_z
Na1 Na 0.0000 0.0000 0.0000
Tl1 Tl 0.0000 0.1633 0.5000
Tl2 Tl 0.0000 0.5000 0.5000
Bi1 Bi 0.0000 0.3277 0.0000
# Fermi-level density of states in states/eV/atom: 0.45
# Size of the total moment in μB/cell: 0.00
# Energy of formation from the pure elements in eV/f.u.: -0.5



# PBE-GGA Na2Tl7Bi, optimized geometry
data_Na2Tl7Bi
_chemical_formula_sum 'Na8 Tl28 Bi4'
_symmetry_space_group_name_H-M 'F m -3 m'
_symmetry_Int_Tables_number 225
_symmetry_space_group_name_Hall '-F 4 2 3'
_cell_length_a 12.1689
_cell_length_b 12.1689
_cell_length_c 12.1689
_cell_angle_alpha 90.00
_cell_angle_beta 90.00
_cell_angle_gamma 90.00
loop_
_atom_site_label
_atom_site_type_symbol
_atom_site_fract_x
_atom_site_fract_y
_atom_site_fract_z
Na1 Na 0.2500 0.2500 0.2500
Tl1 Tl 0.0000 0.0000 0.0000
Tl2 Tl 0.0000 0.0000 0.2499
Bi1 Bi 0.0000 0.0000 0.5000
# Fermi-level density of states in states/eV/atom: 0.62
# Size of the total moment in μB/cell: 0.00
# Energy of formation from the pure elements in eV/f.u.: 2.5